Here is Nb4FeC3 after structural relaxation from OQMD. Energies are from GGA-PBE.

Cell: 3.1409 3.1409 23.3028 Å, 90.00 90.00 120.00°
Atoms (fractional coordinates):
1 Nb 0.0000 0.0000 0.1676
2 Nb 0.0000 0.0000 0.3324
3 Nb 0.0000 0.0000 0.6676
4 Nb 0.0000 0.0000 0.8324
5 Nb 0.3333 0.6667 0.0575
6 Nb 0.3333 0.6667 0.4425
7 Nb 0.6667 0.3333 0.5575
8 Nb 0.6667 0.3333 0.9425
9 Fe 0.3333 0.6667 0.2500
10 Fe 0.6667 0.3333 0.7500
11 C 0.0000 0.0000 0.0000
12 C 0.0000 0.0000 0.5000
13 C 0.3333 0.6667 0.6148
14 C 0.3333 0.6667 0.8852
15 C 0.6667 0.3333 0.1148
16 C 0.6667 0.3333 0.3852

Results
The symmetry is No. 194. The value obtained for the total energy is -157.7 eV per cell.

---

Here is Nb2Fe2C3 after structural relaxation from OQMD. Energies are from GGA-PBE.

Cell: 5.3085 5.3085 5.0373 Å, 108.74 108.74 34.11°
Atoms (fractional coordinates):
1 Nb 0.1114 0.1114 0.3052
2 Nb 0.8886 0.8886 0.6948
3 Fe 0.3455 0.3455 0.1494
4 Fe 0.6545 0.6545 0.8506
5 C 0.2297 0.2297 0.7504
6 C 0.5000 0.5000 0.0000
7 C 0.7703 0.7703 0.2496

Results
The symmetry is No. 12. The value obtained for the total energy is -65.2 eV per cell.

---

Here is NbFeC3 after structural relaxation from OQMD. Energies are from GGA-PBE.

Cell: 10.5275 10.5275 2.6284 Å, 90.00 90.00 162.91°
Atoms (fractional coordinates):
1 Nb 0.0851 0.9149 0.7500
2 Nb 0.9149 0.0851 0.2500
3 Fe 0.2142 0.7858 0.2500
4 Fe 0.7858 0.2142 0.7500
5 C 0.3096 0.6904 0.2500
6 C 0.3506 0.6494 0.7500
7 C 0.4814 0.5186 0.7500
8 C 0.5186 0.4814 0.2500
9 C 0.6494 0.3506 0.2500
10 C 0.6904 0.3096 0.7500

Results
The symmetry is No. 63. The value obtained for the total energy is -85.3 eV per cell.

---

Here is Nb4FeNiC2 after structural relaxation from OQMD. Energies are from GGA-PBE.

Cell: 3.1184 3.1184 13.0008 Å, 90.00 90.00 120.00°
Atoms (fractional coordinates):
1 Nb 0.0000 0.0000 0.1523
2 Nb 0.0000 0.0000 0.8477
3 Nb 0.3333 0.6667 0.3471
4 Nb 0.3333 0.6667 0.6529
5 Fe 0.3333 0.6667 0.0000
6 Ni 0.0000 0.0000 0.5000
7 C 0.6667 0.3333 0.2503
8 C 0.6667 0.3333 0.7497

Results
The symmetry is No. 187. The value obtained for the total energy is -74.2 eV per cell.

---

Here is Nb4FeSbC2 after structural relaxation from OQMD. Energies are from GGA-PBE.

Cell: 3.2088 3.2088 13.3117 Å, 90.00 90.00 120.00°
Atoms (fractional coordinates):
1 Nb 0.0000 0.0000 0.1464
2 Nb 0.0000 0.0000 0.8536
3 Nb 0.6667 0.3333 0.3292
4 Nb 0.6667 0.3333 0.6708
5 Fe 0.6667 0.3333 0.0000
6 Sb 0.0000 0.0000 0.5000
7 C 0.3333 0.6667 0.2380
8 C 0.3333 0.6667 0.7620

Results
The symmetry is No. 187. The value obtained for the total energy is -73.0 eV per cell.

---

Here is Sc2Nb4Fe3C3 after structural relaxation from OQMD. Energies are from GGA-PBE.

Cell: 5.4168 5.4168 13.7263 Å, 101.69 101.69 59.98°
Atoms (fractional coordinates):
1 Sc 0.0406 0.8754 0.6169
2 Sc 0.1246 0.9594 0.8831
3 Sc 0.8754 0.0406 0.1169
4 Sc 0.9594 0.1246 0.3831
5 Nb 0.1946 0.3581 0.0891
6 Nb 0.2969 0.4777 0.4108
7 Nb 0.3581 0.1946 0.5891
8 Nb 0.4777 0.2969 0.9108
9 Nb 0.5223 0.7031 0.0892
10 Nb 0.6419 0.8054 0.4109
11 Nb 0.7031 0.5223 0.5892
12 Nb 0.8054 0.6419 0.9109
13 Fe 0.0860 0.4060 0.7504
14 Fe 0.4060 0.0860 0.2504
15 Fe 0.4230 0.5770 0.2500
16 Fe 0.5770 0.4230 0.7500
17 Fe 0.5940 0.9140 0.7496
18 Fe 0.9140 0.5940 0.2496
19 C 0.0000 0.5000 0.5000
20 C 0.1668 0.6662 0.0002
21 C 0.3338 0.8332 0.4998
22 C 0.5000 0.0000 0.0000
23 C 0.6662 0.1668 0.5002
24 C 0.8332 0.3338 0.9998

Results
The symmetry is No. 15. The value obtained for the total energy is -218.6 eV per cell.

---

Here is Sc4Nb2Fe3C3 after structural relaxation from OQMD. Energies are from GGA-PBE.

Cell: 5.5687 5.5687 13.8418 Å, 100.72 100.72 59.53°
Atoms (fractional coordinates):
1 Sc 0.0326 0.1903 0.0930
2 Sc 0.1282 0.3036 0.4060
3 Sc 0.1903 0.0326 0.5930
4 Sc 0.3036 0.1282 0.9060
5 Sc 0.6964 0.8718 0.0940
6 Sc 0.8097 0.9674 0.4070
7 Sc 0.8718 0.6964 0.5940
8 Sc 0.9674 0.8097 0.9070
9 Nb 0.3615 0.5197 0.0920
10 Nb 0.4803 0.6385 0.4080
11 Nb 0.5197 0.3615 0.5920
12 Nb 0.6385 0.4803 0.9080
13 Fe 0.1754 0.3866 0.7492
14 Fe 0.2523 0.7477 0.7500
15 Fe 0.3866 0.1754 0.2492
16 Fe 0.6134 0.8246 0.7508
17 Fe 0.7477 0.2523 0.2500
18 Fe 0.8246 0.6134 0.2508
19 C 0.0000 0.5000 0.0000
20 C 0.1937 0.6505 0.4977
21 C 0.3495 0.8063 0.0023
22 C 0.5000 0.0000 0.5000
23 C 0.6505 0.1937 0.9977
24 C 0.8063 0.3495 0.5023

Results
The symmetry is No. 15. The value obtained for the total energy is -198.7 eV per cell.

---

Here is Nb4FeSiC2 after structural relaxation from OQMD. Energies are from GGA-PBE.

Cell: 3.1374 3.1374 12.8252 Å, 90.00 90.00 120.00°
Atoms (fractional coordinates):
1 Nb 0.0000 0.0000 0.1496
2 Nb 0.0000 0.0000 0.8504
3 Nb 0.6667 0.3333 0.3467
4 Nb 0.6667 0.3333 0.6533
5 Fe 0.6667 0.3333 0.0000
6 Si 0.0000 0.0000 0.5000
7 C 0.3333 0.6667 0.2475
8 C 0.3333 0.6667 0.7525

Results
The symmetry is No. 187. The value obtained for the total energy is -75.2 eV per cell.

---

Here is Nb4FeSnC2 after structural relaxation from OQMD. Energies are from GGA-PBE.

Cell: 3.1638 3.1638 13.6410 Å, 90.00 90.00 120.00°
Atoms (fractional coordinates):
1 Nb 0.0000 0.0000 0.1444
2 Nb 0.0000 0.0000 0.8556
3 Nb 0.6667 0.3333 0.3263
4 Nb 0.6667 0.3333 0.6737
5 Fe 0.6667 0.3333 0.0000
6 Sn 0.0000 0.0000 0.5000
7 C 0.3333 0.6667 0.2352
8 C 0.3333 0.6667 0.7648

Results
The symmetry is No. 187. The value obtained for the total energy is -73.3 eV per cell.

---

Here is Ta2Nb4Fe3C3 after structural relaxation from OQMD. Energies are from GGA-PBE.

Cell: 5.3505 5.3505 13.6146 Å, 101.46 101.46 59.92°
Atoms (fractional coordinates):
1 Ta 0.0360 0.8689 0.6059
2 Ta 0.1311 0.9640 0.8941
3 Ta 0.8689 0.0360 0.1059
4 Ta 0.9640 0.1311 0.3941
5 Nb 0.1965 0.3647 0.0917
6 Nb 0.3022 0.4701 0.4084
7 Nb 0.3647 0.1965 0.5917
8 Nb 0.4701 0.3022 0.9084
9 Nb 0.5299 0.6978 0.0916
10 Nb 0.6353 0.8035 0.4083
11 Nb 0.6978 0.5299 0.5916
12 Nb 0.8035 0.6353 0.9083
13 Fe 0.0841 0.4037 0.7495
14 Fe 0.4037 0.0841 0.2495
15 Fe 0.4247 0.5753 0.2500
16 Fe 0.5753 0.4247 0.7500
17 Fe 0.5963 0.9159 0.7505
18 Fe 0.9159 0.5963 0.2505
19 C 0.0000 0.5000 0.5000
20 C 0.1580 0.6841 0.0000
21 C 0.3159 0.8420 0.5000
22 C 0.5000 0.0000 0.0000
23 C 0.6841 0.1580 0.5000
24 C 0.8420 0.3159 0.0000

Results
The symmetry is No. 15. The value obtained for the total energy is -237.8 eV per cell.

---

Here is Nb4TlFeC2 after structural relaxation from OQMD. Energies are from GGA-PBE.

Cell: 3.1529 3.1529 13.8736 Å, 90.00 90.00 120.00°
Atoms (fractional coordinates):
1 Nb 0.0000 0.0000 0.1409
2 Nb 0.0000 0.0000 0.8591
3 Nb 0.6667 0.3333 0.3203
4 Nb 0.6667 0.3333 0.6797
5 Tl 0.0000 0.0000 0.5000
6 Fe 0.6667 0.3333 0.0000
7 C 0.3333 0.6667 0.2315
8 C 0.3333 0.6667 0.7685

Results
The symmetry is No. 187. The value obtained for the total energy is -71.1 eV per cell.

---

Here is Nb4Fe3W2C3 after structural relaxation from OQMD. Energies are from GGA-PBE.

Cell: 5.3037 5.3037 13.7243 Å, 101.04 101.04 60.07°
Atoms (fractional coordinates):
1 Nb 0.0312 0.1961 0.0925
2 Nb 0.1346 0.3036 0.4075
3 Nb 0.1961 0.0312 0.5926
4 Nb 0.3036 0.1346 0.9075
5 Nb 0.6964 0.8654 0.0925
6 Nb 0.8039 0.9688 0.4074
7 Nb 0.8654 0.6964 0.5925
8 Nb 0.9688 0.8039 0.9074
9 Fe 0.0789 0.9211 0.7500
10 Fe 0.0886 0.4172 0.7506
11 Fe 0.4172 0.0886 0.2506
12 Fe 0.5828 0.9114 0.7494
13 Fe 0.9114 0.5828 0.2494
14 Fe 0.9211 0.0789 0.2500
15 W 0.3624 0.5321 0.0964
16 W 0.4679 0.6376 0.4036
17 W 0.5321 0.3624 0.5964
18 W 0.6376 0.4679 0.9036
19 C 0.0000 0.5000 0.0000
20 C 0.1841 0.6579 0.5000
21 C 0.3421 0.8159 0.0000
22 C 0.5000 0.0000 0.5000
23 C 0.6579 0.1841 0.0000
24 C 0.8159 0.3421 0.5000

Results
The symmetry is No. 15. The value obtained for the total energy is -236.6 eV per cell.

---

What is the formula in the fifth record? Nb4FeSbC2

---

What did the seventh record say?
Here is Sc4Nb2Fe3C3 after structural relaxation from OQMD. Energies are from GGA-PBE.

Cell: 5.5687 5.5687 13.8418 Å, 100.72 100.72 59.53°
Atoms (fractional coordinates):
1 Sc 0.0326 0.1903 0.0930
2 Sc 0.1282 0.3036 0.4060
3 Sc 0.1903 0.0326 0.5930
4 Sc 0.3036 0.1282 0.9060
5 Sc 0.6964 0.8718 0.0940
6 Sc 0.8097 0.9674 0.4070
7 Sc 0.8718 0.6964 0.5940
8 Sc 0.9674 0.8097 0.9070
9 Nb 0.3615 0.5197 0.0920
10 Nb 0.4803 0.6385 0.4080
11 Nb 0.5197 0.3615 0.5920
12 Nb 0.6385 0.4803 0.9080
13 Fe 0.1754 0.3866 0.7492
14 Fe 0.2523 0.7477 0.7500
15 Fe 0.3866 0.1754 0.2492
16 Fe 0.6134 0.8246 0.7508
17 Fe 0.7477 0.2523 0.2500
18 Fe 0.8246 0.6134 0.2508
19 C 0.0000 0.5000 0.0000
20 C 0.1937 0.6505 0.4977
21 C 0.3495 0.8063 0.0023
22 C 0.5000 0.0000 0.5000
23 C 0.6505 0.1937 0.9977
24 C 0.8063 0.3495 0.5023

Results
The symmetry is No. 15. The value obtained for the total energy is -198.7 eV per cell.